Mn3TeP2Pb3O14 | GGA+U | optimized geometry

Values from the calculation:
For the total energy, the calculation gives -6.817 eV/atom. For the magnetic moment, the calculation gives 15.00 μB/f.u. Its density of states at the Fermi level is 0.00 states/eV/cell.

a b c (Å): 8.658 8.658 5.416
angles (deg): 90.00 90.00 120.00
Sites, in units of the cell vectors:
Mn  0.000  0.253  0.000
Mn  0.253  0.000  0.000
Mn  0.747  0.747  0.000
Te  0.000  0.000  0.500
P  0.333  0.667  0.064
P  0.667  0.333  0.936
Pb  0.000  0.604  0.500
Pb  0.396  0.396  0.500
Pb  0.604  0.000  0.500
O  0.086  0.874  0.708
O  0.126  0.212  0.708
O  0.207  0.476  0.174
O  0.212  0.126  0.292
O  0.269  0.793  0.174
O  0.333  0.667  0.780
O  0.476  0.207  0.826
O  0.524  0.731  0.174
O  0.667  0.333  0.220
O  0.731  0.524  0.826
O  0.788  0.914  0.708
O  0.793  0.269  0.826
O  0.874  0.086  0.292
O  0.914  0.788  0.292